[1]
Here is crystalline Sm3Si4Pd2 at its relaxed geometry from Alexandria via LeMat-Bulk. Energies are from PBE.

Properties
The space group is C2/m, No. 12. The formation energy (no corrections) is -0.901 eV per atom. As for the total magnetic moment: 0.00 μB/f.u. The calculation puts the density at 6.92 g/cm3.

Cell lengths 5.9016, 5.9016, 8.3330 Å; angles 100.97, 100.97, 40.95 degrees
With the nearest neighbours (Å) after each atom.
Positions (direct):
Sm 0.0000 0.0000 0.0000  4 Pd 3.15, 8 Si 3.18-3.20
Sm 0.3352 0.3352 0.3326  8 Si 3.13-3.26, 4 Pd 3.17-3.19
Sm 0.6648 0.6648 0.6674  8 Si 3.13-3.26, 4 Pd 3.17-3.19
Si 0.0525 0.0525 0.3897  1 Si 2.36, 2 Pd 2.41
Si 0.2772 0.2772 0.9400  1 Pd 2.40, 2 Si 2.42
Si 0.7228 0.7228 0.0600  1 Pd 2.40, 2 Si 2.42
Si 0.9475 0.9475 0.6103  1 Si 2.36, 2 Pd 2.41
Pd 0.3899 0.3899 0.7227  3 Si 2.40-2.41
Pd 0.6101 0.6101 0.2773  3 Si 2.40-2.41

***

[2]
Here is crystalline Nd7Dy3Ho2 at its relaxed geometry from Alexandria via LeMat-Bulk. Energies are from PBE.

Properties
The space group is P2/m, No. 10. Its energy above the most stable polymorph in this dataset is 166.8 meV/atom. As for the total magnetic moment: 0.00 μB/f.u. The formation enthalpy at 0 K is 280.3 meV/atom. The calculation puts the density at 7.05 g/cm3.

Cell lengths 6.2951, 5.5591, 12.2941 Å; angles 90.00, 90.66, 90.00 degrees
With the nearest neighbours (Å) after each atom.
Positions (direct):
Nd 0.0000 0.0000 0.0000  6 Nd 3.53-3.58
Nd 0.0911 0.5000 0.1712  2 Ho 3.26-3.55, 3 Dy 3.34-3.63, 5 Nd 3.53-3.60
Nd 0.2447 0.5000 0.4537  2 Ho 3.22-3.41, 3 Nd 3.30-3.60
Nd 0.4431 0.0000 0.1850  2 Ho 3.19, 2 Nd 3.56
Nd 0.5569 0.0000 0.8151  2 Ho 3.19, 2 Nd 3.56
Nd 0.7553 0.5000 0.5463  2 Ho 3.22-3.41, 3 Nd 3.30-3.60
Nd 0.9089 0.5000 0.8288  2 Ho 3.26-3.55, 3 Dy 3.34-3.63, 5 Nd 3.53-3.60
Dy 0.0667 0.0000 0.6576  2 Ho 3.50, 8 Nd 3.62-3.92
Dy 0.5000 0.5000 0.0000  6 Nd 3.34-3.61, 2 Ho 3.48
Dy 0.9333 0.0000 0.3424  2 Ho 3.50, 8 Nd 3.62-3.92
Ho 0.3815 0.5000 0.7231  6 Nd 3.19-3.55, 3 Dy 3.48-3.50
Ho 0.6185 0.5000 0.2769  6 Nd 3.19-3.55, 3 Dy 3.48-3.50

***

[3]
Here is crystalline Ce5Pa2Tc4 at its relaxed geometry from Alexandria via LeMat-Bulk. Energies are from PBE.

Properties
The space group is Immm, No. 71. As for the total magnetic moment: 0.00 μB/f.u. The formation enthalpy at 0 K is 327.9 meV/atom. The calculation puts the density at 10.54 g/cm3.

Cell lengths 7.4060, 7.4060, 7.4060 Å; angles 139.17, 106.21, 87.95 degrees
With the nearest neighbours (Å) after each atom.
Positions (direct):
Ce 0.0000 0.0000 0.0000  4 Pa 3.01, 4 Ce 3.23
Ce 0.0959 0.2672 0.8287  1 Tc 2.48
Ce 0.4384 0.2672 0.1713  1 Tc 2.48
Ce 0.5616 0.7328 0.8287  1 Tc 2.48
Ce 0.9041 0.7328 0.1713  1 Tc 2.48
Pa 0.1442 0.6442 0.5000  1 Tc 2.45
Pa 0.8558 0.3558 0.5000  1 Tc 2.45
Tc 0.3344 0.5000 0.8344  2 Ce 2.48
Tc 0.3740 0.8740 0.5000  1 Pa 2.45, 1 Tc 2.69
Tc 0.6260 0.1260 0.5000  1 Pa 2.45, 1 Tc 2.69
Tc 0.6656 0.5000 0.1656  2 Ce 2.48

***

[4]
Here is crystalline KAcIn6 at its relaxed geometry from Alexandria via LeMat-Bulk. Energies are from PBE.

Properties
The space group is Pmm2, No. 25. As for the total magnetic moment: 0.00 μB/f.u. The formation enthalpy at 0 K is -213.1 meV/atom. The calculation puts the density at 6.52 g/cm3.

Cell lengths 5.0688, 6.7938, 7.0645 Å; angles 90.00, 90.00, 90.00 degrees
With the nearest neighbours (Å) after each atom.
Positions (direct):
K 0.0000 0.0000 0.0000  10 In 3.55-3.72
Ac 0.5000 0.5000 0.2017  10 In 3.52-3.71
In 0.0000 0.2625 0.4615  7 In 3.19-3.57, 2 Ac 3.52
In 0.0000 0.5000 0.8531  6 In 3.18-3.20, 2 Ac 3.53, 2 K 3.55
In 0.0000 0.7375 0.4615  7 In 3.19-3.57, 2 Ac 3.52
In 0.5000 0.0000 0.3551  6 In 3.17-3.19
In 0.5000 0.2428 0.7379  7 In 3.17-3.49, 2 K 3.55
In 0.5000 0.7572 0.7379  7 In 3.17-3.49, 2 K 3.55

***

[5]
Here is crystalline DySiNi4 at its relaxed geometry from Alexandria via LeMat-Bulk. Energies are from PBE.

Properties
The space group is Pmma, No. 51. The formation energy (no corrections) is -0.492 eV per atom. Its energy above the most stable polymorph in this dataset is 124.2 meV/atom. As for the total magnetic moment: 0.00 μB/f.u. The calculation puts the density at 8.49 g/cm3.

Cell lengths 7.0924, 3.5925, 6.5323 Å; angles 90.00, 90.00, 90.00 degrees
With the nearest neighbours (Å) after each atom.
Positions (direct):
Dy 0.2500 0.0000 0.1353  8 Ni 2.79-2.97, 1 Si 2.82
Dy 0.7500 0.0000 0.8647  8 Ni 2.79-2.97, 1 Si 2.82
Si 0.2500 0.0000 0.7042  8 Ni 2.22-2.40
Si 0.7500 0.0000 0.2958  8 Ni 2.22-2.40
Ni 0.0000 0.0000 0.5000  2 Si 2.22
Ni 0.0592 0.5000 0.7913  2 Si 2.32, 1 Ni 2.55
Ni 0.2500 0.5000 0.4612  2 Si 2.40, 6 Ni 2.54-2.55
Ni 0.4408 0.5000 0.7913  2 Si 2.32, 1 Ni 2.55
Ni 0.5000 0.0000 0.5000  2 Si 2.22
Ni 0.5592 0.5000 0.2087  2 Si 2.32, 1 Ni 2.55
Ni 0.7500 0.5000 0.5388  2 Si 2.40, 6 Ni 2.54-2.55
Ni 0.9408 0.5000 0.2087  2 Si 2.32, 1 Ni 2.55

***

[6]
Here is crystalline CeHfGe2Rh5 at its relaxed geometry from Alexandria via LeMat-Bulk. Energies are from PBE.

Properties
The space group is P4/mmm, No. 123. As for the total magnetic moment: 0.53 μB/f.u. The formation enthalpy at 0 K is -510.0 meV/atom. The calculation puts the density at 9.10 g/cm3.

Cell lengths 3.9919, 3.9919, 11.2090 Å; angles 90.00, 90.00, 90.00 degrees
With the nearest neighbours (Å) after each atom.
Positions (direct):
Ce 0.0000 0.0000 0.0000  4 Rh 2.82
Hf 0.0000 0.0000 0.5000  8 Rh 2.69
Ge 0.5000 0.5000 0.2156  5 Rh 2.42-2.43
Ge 0.5000 0.5000 0.7844  5 Rh 2.42-2.43
Rh 0.0000 0.5000 0.3396  2 Ge 2.43, 2 Hf 2.69
Rh 0.0000 0.5000 0.6604  2 Ge 2.43, 2 Hf 2.69
Rh 0.5000 0.0000 0.3396  2 Ge 2.43, 2 Hf 2.69
Rh 0.5000 0.0000 0.6604  2 Ge 2.43, 2 Hf 2.69
Rh 0.5000 0.5000 0.0000  2 Ge 2.42

***

[7]
Here is crystalline MgNbAl at its relaxed geometry from Alexandria via LeMat-Bulk. Energies are from PBE.

Properties
The space group is Fmmm, No. 69. As for the total magnetic moment: 0.00 μB/f.u. The formation enthalpy at 0 K is 213.5 meV/atom. The calculation puts the density at 4.07 g/cm3.

Cell lengths 6.9603, 6.3097, 4.7128 Å; angles 76.80, 61.96, 41.24 degrees
With the nearest neighbours (Å) after each atom.
Positions (direct):
Mg 0.1767 0.8233 0.1767  3 Mg 2.77-2.85, 2 Al 2.87
Mg 0.8233 0.1767 0.8233  3 Mg 2.77-2.85, 2 Al 2.87
Nb 0.2500 0.2500 0.2500  2 Nb 2.61, 4 Al 2.82
Nb 0.7500 0.7500 0.7500  2 Nb 2.61, 4 Al 2.82
Al 0.3843 0.3843 0.6157  1 Al 2.66, 4 Nb 2.82, 2 Mg 2.87
Al 0.6157 0.6157 0.3843  1 Al 2.66, 4 Nb 2.82, 2 Mg 2.87

***

[8]
Here is crystalline MgBPd3 at its relaxed geometry from Alexandria via LeMat-Bulk. Energies are from PBE.

Properties
The space group is I-4m2, No. 119. Its energy above the most stable polymorph in this dataset is 1030.6 meV/atom. As for the total magnetic moment: 0.00 μB/f.u. The formation enthalpy at 0 K is 545.2 meV/atom. The calculation puts the density at 5.60 g/cm3.

Cell lengths 10.0316, 10.0316, 10.0316 Å; angles 152.82, 152.82, 38.82 degrees
With the nearest neighbours (Å) after each atom.
Positions (direct):
Mg 0.0000 0.0000 0.0000  4 Pd 2.64
Mg 0.7500 0.2500 0.5000  4 Pd 2.65
B 0.1284 0.6284 0.5000  6 Pd 2.36-2.63
B 0.3716 0.8716 0.5000  6 Pd 2.36-2.63
Pd 0.3664 0.3664 0.0000  2 B 2.36
Pd 0.3711 0.1251 0.2460  2 Pd 2.32-2.39
Pd 0.6336 0.6336 0.0000  2 B 2.36
Pd 0.8749 0.1210 0.2460  2 Pd 2.32-2.39
Pd 0.8749 0.6289 0.7540  2 Pd 2.32-2.39
Pd 0.8790 0.1251 0.7540  2 Pd 2.32-2.39

***

[9]
Here is crystalline AgHgTe2 at its relaxed geometry from Alexandria via LeMat-Bulk. Energies are from PBE.

Properties
The space group is P4/mmm, No. 123. The formation energy (no corrections) is 0.018 eV per atom. As for the total magnetic moment: 0.00 μB/f.u. The calculation puts the density at 8.65 g/cm3.

Cell lengths 4.2478, 4.2478, 5.9937 Å; angles 90.00, 90.00, 90.00 degrees
With the nearest neighbours (Å) after each atom.
Positions (direct):
Ag 0.0000 0.0000 0.0000  6 Te 3.00
Hg 0.5000 0.5000 0.5000  6 Te 3.00
Te 0.0000 0.0000 0.5000  2 Ag 3.00, 4 Hg 3.00
Te 0.5000 0.5000 0.0000  2 Hg 3.00, 4 Ag 3.00

***

[10]
Here is crystalline Ag2TeI at its relaxed geometry from Alexandria via LeMat-Bulk. Energies are from PBE.

Properties
The space group is R-3m, No. 166. The formation energy (no corrections) is 0.022 eV per atom. Its energy above the most stable polymorph in this dataset is 150.6 meV/atom. As for the total magnetic moment: 0.00 μB/f.u. The calculation puts the density at 6.02 g/cm3.

Cell lengths 8.8809, 8.8809, 8.8809 Å; angles 27.27, 27.27, 27.27 degrees
With the nearest neighbours (Å) after each atom.
Positions (direct):
Ag 0.1069 0.1069 0.1069  1 I 2.74, 3 Te 2.86
Ag 0.8931 0.8931 0.8931  1 I 2.74, 3 Te 2.86
Te 0.5000 0.5000 0.5000  6 Ag 2.86
I 0.0000 0.0000 0.0000  2 Ag 2.74

***

[11]
Here is crystalline VNiHgTe3 at its relaxed geometry from Alexandria via LeMat-Bulk. Energies are from PBE.

Properties
The space group is P2_1/m, No. 11. The formation energy (no corrections) is -0.235 eV per atom. As for the total magnetic moment: 0.00 μB/f.u. The calculation puts the density at 7.27 g/cm3.

Cell lengths 9.5778, 3.6106, 10.1271 Å; angles 90.00, 115.30, 90.00 degrees
With the nearest neighbours (Å) after each atom.
Positions (direct):
V 0.0355 0.2500 0.3152  6 Te 2.63-2.78, 2 Ni 2.75
V 0.9645 0.7500 0.6848  6 Te 2.63-2.78, 2 Ni 2.75
Ni 0.0226 0.7500 0.1058  4 Te 2.51-2.57, 2 Ni 2.69, 2 V 2.75
Ni 0.9774 0.2500 0.8942  4 Te 2.51-2.57, 2 Ni 2.69, 2 V 2.75
Hg 0.4832 0.7500 0.7696  6 Te 3.45-3.71, 2 Hg 3.61
Hg 0.5168 0.2500 0.2304  6 Te 3.45-3.71, 2 Hg 3.61
Te 0.1439 0.2500 0.6179  3 V 2.77-2.78
Te 0.1802 0.7500 0.9548  3 Ni 2.53-2.57, 1 V 2.63
Te 0.2528 0.7500 0.3490  1 Ni 2.51, 2 V 2.66
Te 0.7472 0.2500 0.6510  1 Ni 2.51, 2 V 2.66
Te 0.8198 0.2500 0.0452  3 Ni 2.53-2.57, 1 V 2.63
Te 0.8561 0.7500 0.3821  3 V 2.77-2.78

***

Repeat the fourth record exactly.
Here is crystalline KAcIn6 at its relaxed geometry from Alexandria via LeMat-Bulk. Energies are from PBE.

Properties
The space group is Pmm2, No. 25. As for the total magnetic moment: 0.00 μB/f.u. The formation enthalpy at 0 K is -213.1 meV/atom. The calculation puts the density at 6.52 g/cm3.

Cell lengths 5.0688, 6.7938, 7.0645 Å; angles 90.00, 90.00, 90.00 degrees
With the nearest neighbours (Å) after each atom.
Positions (direct):
K 0.0000 0.0000 0.0000  10 In 3.55-3.72
Ac 0.5000 0.5000 0.2017  10 In 3.52-3.71
In 0.0000 0.2625 0.4615  7 In 3.19-3.57, 2 Ac 3.52
In 0.0000 0.5000 0.8531  6 In 3.18-3.20, 2 Ac 3.53, 2 K 3.55
In 0.0000 0.7375 0.4615  7 In 3.19-3.57, 2 Ac 3.52
In 0.5000 0.0000 0.3551  6 In 3.17-3.19
In 0.5000 0.2428 0.7379  7 In 3.17-3.49, 2 K 3.55
In 0.5000 0.7572 0.7379  7 In 3.17-3.49, 2 K 3.55